DFT (PBE) results for an optimized crystal structure of Pm7YEr3.

Relative energy among the computed polymorphs: 0.0 meV/atom
DFT formation energy: 0.12 eV/atom
Spin magnetization: 0.00 μB/cell
DOS(E_F): 15.867 states/eV per cell

Cell and atoms, written as CIF:
```
data_Pm7YEr3
_cell_length_a 7.092
_cell_length_b 5.632
_cell_length_c 9.979
_cell_angle_alpha 90.00
_cell_angle_beta 110.34
_cell_angle_gamma 90.00
_space_group_name_H-M_alt 'P 1 2/m 1'
_space_group_IT_number 10
_space_group_name_Hall '-P 2y'
loop_
_atom_site_label
_atom_site_fract_x
_atom_site_fract_y
_atom_site_fract_z
Pm1 0.000 0.000 0.000
Pm2 0.148 0.500 0.292
Pm3 0.321 0.500 0.641
Pm4 0.419 0.000 0.830
Y1 0.000 0.000 0.500
Er1 0.279 0.500 0.998
Er2 0.500 0.000 0.500
```

***

DFT (PBE) results for an optimized crystal structure of PmY12Er7.

DFT formation energy: 0.34 eV/atom
Spin magnetization: 0.00 μB/cell
DOS(E_F): 90.586 states/eV per cell

Cell and atoms, written as CIF:
```
data_PmY12Er7
_cell_length_a 18.5298
_cell_length_b 18.5298
_cell_length_c 6.7160
_cell_angle_alpha 90.00
_cell_angle_beta 90.00
_cell_angle_gamma 120.00
_space_group_name_H-M_alt 'R -3'
_space_group_IT_number 148
_space_group_name_Hall '-R 3'
loop_
_atom_site_label
_atom_site_fract_x
_atom_site_fract_y
_atom_site_fract_z
Pm1 0.0000 0.0000 0.0000
Y1 0.0010 0.7895 0.2849
Y2 0.0071 0.4706 0.7382
Er1 0.0000 0.0000 0.5000
Er2 0.0089 0.8533 0.7787
```

***

DFT (PBE) results for an optimized crystal structure of Pm3Y6Er.

Relative energy among the computed polymorphs: 109.3 meV/atom
DFT formation energy: 0.25 eV/atom
Spin magnetization: 0.00 μB/cell
DOS(E_F): 61.875 states/eV per cell

Cell and atoms, written as CIF:
```
data_Pm3Y6Er
_cell_length_a 9.9320
_cell_length_b 9.9320
_cell_length_c 11.6773
_cell_angle_alpha 90.00
_cell_angle_beta 90.00
_cell_angle_gamma 120.00
_space_group_name_H-M_alt 'R 3'
_space_group_IT_number 146
_space_group_name_Hall 'R 3'
loop_
_atom_site_label
_atom_site_fract_x
_atom_site_fract_y
_atom_site_fract_z
Pm1 0.0000 0.0000 0.0000
Pm2 0.0000 0.0000 0.2489
Pm3 0.0000 0.0000 0.7498
Y1 0.0026 0.6730 0.2487
Y2 0.0067 0.3367 0.4148
Er1 0.0000 0.0000 0.4997
```

***

DFT (PBE) results for an optimized crystal structure of PmY7Er2.

Relative energy among the computed polymorphs: 0.0 meV/atom
DFT formation energy: 0.12 eV/atom
Spin magnetization: 1.21 μB/cell
DOS(E_F): 33.906 states/eV per cell

Cell and atoms, written as CIF:
```
data_PmY7Er2
_cell_length_a 6.172
_cell_length_b 29.722
_cell_length_c 3.522
_cell_angle_alpha 90.00
_cell_angle_beta 90.87
_cell_angle_gamma 90.00
_space_group_name_H-M_alt 'C 1 2/m 1'
_space_group_IT_number 12
_space_group_name_Hall '-C 2y'
loop_
_atom_site_label
_atom_site_fract_x
_atom_site_fract_y
_atom_site_fract_z
Pm1 0.000 0.000 0.000
Y1 0.000 0.292 0.000
Y2 0.000 0.500 0.500
Y3 0.244 0.399 0.774
Er1 0.000 0.192 0.500
```

***

DFT (PBE) results for an optimized crystal structure of PmY7Er3.

Relative energy among the computed polymorphs: 0.0 meV/atom
DFT formation energy: 0.14 eV/atom
Spin magnetization: 0.00 μB/cell
DOS(E_F): 19.012 states/eV per cell

Cell and atoms, written as CIF:
```
data_PmY7Er3
_cell_length_a 6.920
_cell_length_b 5.554
_cell_length_c 9.956
_cell_angle_alpha 90.00
_cell_angle_beta 109.34
_cell_angle_gamma 90.00
_space_group_name_H-M_alt 'P 1 2/m 1'
_space_group_IT_number 10
_space_group_name_Hall '-P 2y'
loop_
_atom_site_label
_atom_site_fract_x
_atom_site_fract_y
_atom_site_fract_z
Pm1 0.000 0.000 0.000
Y1 0.000 0.000 0.500
Y2 0.147 0.500 0.789
Y3 0.323 0.500 0.140
Y4 0.425 0.000 0.332
Er1 0.276 0.500 0.496
Er2 0.500 0.000 0.000
```

***

DFT (PBE) results for an optimized crystal structure of Pm3Y8Er2.

Relative energy among the computed polymorphs: 0.0 meV/atom
DFT formation energy: 0.02 eV/atom
Spin magnetization: 0.00 μB/cell
DOS(E_F): 19.380 states/eV per cell

Cell and atoms, written as CIF:
```
data_Pm3Y8Er2
_cell_length_a 6.196
_cell_length_b 6.200
_cell_length_c 11.317
_cell_angle_alpha 89.90
_cell_angle_beta 79.46
_cell_angle_gamma 80.46
_space_group_name_H-M_alt 'P -1'
_space_group_IT_number 2
_space_group_name_Hall '-P 1'
loop_
_atom_site_label
_atom_site_fract_x
_atom_site_fract_y
_atom_site_fract_z
Pm1 0.000 0.000 0.000
Pm2 0.386 0.768 0.462
Y1 0.076 0.156 0.694
Y2 0.154 0.307 0.384
Y3 0.308 0.616 0.771
Y4 0.460 0.922 0.152
Er1 0.230 0.462 0.076
```